8
Lattice="4.2865 0.0000 0.0000 0.0000 6.2836 0.0000 0.0000 0.0000 5.9818" Properties=species:S:1:pos:R:3 comment="LaRePO | the Open Quantum Materials Database | PBE | relaxed" energy_ev_per_cell=-64.0 space_group=Pmc2_1 de_polymorph_mev_per_atom=726 magmom_total_mub_per_fu=0.00 pbc="T T T"
La 0.0000 1.3717 0.0000
La 0.0000 4.9119 2.9909
Re 2.1432 2.4636 3.4209
Re 2.1432 3.8200 0.4300
P 0.0000 1.6307 2.9506
P 0.0000 4.6529 5.9416
O 2.1432 2.0734 5.3863
O 2.1432 4.2102 2.3954

8
Lattice="4.2402 0.0000 0.0000 0.0000 4.2402 0.0000 0.0000 0.0000 7.1649" Properties=species:S:1:pos:R:3 comment="LaRePO | the Open Quantum Materials Database | PBE | relaxed" energy_ev_per_cell=-54.5 space_group=P4/nmm de_polymorph_mev_per_atom=1909 magmom_total_mub_per_fu=0.07 pbc="T T T"
La 1.0600 3.1801 0.0000
La 3.1801 1.0600 0.0000
Re 1.0600 1.0600 2.7928
Re 3.1801 3.1801 4.3721
P 1.0600 1.0600 5.1274
P 3.1801 3.1801 2.0375
O 1.0600 3.1801 3.5825
O 3.1801 1.0600 3.5825

8
Lattice="3.9874 0.0000 0.0000 0.0000 3.9874 0.0000 0.0000 0.0000 8.8669" Properties=species:S:1:pos:R:3 comment="LaRePO | the Open Quantum Materials Database | PBE | relaxed" energy_ev_per_cell=-69.8 space_group=P4/nmm de_polymorph_mev_per_atom=0 magmom_total_mub_per_fu=0.00 pbc="T T T"
La 0.9968 0.9968 1.2573
La 2.9905 2.9905 7.6097
Re 0.9968 2.9905 4.4335
Re 2.9905 0.9968 4.4335
P 0.9968 0.9968 5.7981
P 2.9905 2.9905 3.0688
O 0.9968 2.9905 0.0000
O 2.9905 0.9968 0.0000

8
Lattice="4.0136 0.0000 0.0000 0.0000 4.0136 0.0000 0.0000 0.0000 9.2775" Properties=species:S:1:pos:R:3 comment="LaTaPO | the Open Quantum Materials Database | PBE | relaxed" energy_ev_per_cell=-69.9 space_group=P4/nmm de_polymorph_mev_per_atom=0 magmom_total_mub_per_fu=0.01 pbc="T T T"
La 1.0034 1.0034 1.2440
La 3.0102 3.0102 8.0335
Ta 1.0034 3.0102 4.6387
Ta 3.0102 1.0034 4.6387
P 1.0034 1.0034 6.2614
P 3.0102 3.0102 3.0160
O 1.0034 3.0102 0.0000
O 3.0102 1.0034 0.0000

Copy entry 1 word for word.
8
Lattice="4.2865 0.0000 0.0000 0.0000 6.2836 0.0000 0.0000 0.0000 5.9818" Properties=species:S:1:pos:R:3 comment="LaRePO | the Open Quantum Materials Database | PBE | relaxed" energy_ev_per_cell=-64.0 space_group=Pmc2_1 de_polymorph_mev_per_atom=726 magmom_total_mub_per_fu=0.00 pbc="T T T"
La 0.0000 1.3717 0.0000
La 0.0000 4.9119 2.9909
Re 2.1432 2.4636 3.4209
Re 2.1432 3.8200 0.4300
P 0.0000 1.6307 2.9506
P 0.0000 4.6529 5.9416
O 2.1432 2.0734 5.3863
O 2.1432 4.2102 2.3954